A relaxed TiBi3Sb crystal. Source: Alexandria, functional PBEsol.

Output
- Energy relative to the elements, uncorrected: 333 meV/atom
- Total magnetic moment: 0.0002 μB per atom

Cell lengths 5.333, 5.333, 5.333 Å; angles 90.00, 90.00, 90.00 degrees
Space group Pm-3m (No. 221)
Asymmetric unit:
Ti 0.000 0.000 0.000 x1
Bi 0.000 0.000 0.500 x3
Sb 0.500 0.500 0.500 x1

A relaxed YBiSb2 crystal. Source: Alexandria, functional PBEsol.

Output
- Energy relative to the elements, uncorrected: -107 meV/atom
- Total magnetic moment: 0.0000 μB per atom

Cell lengths 6.807, 6.807, 14.250 Å; angles 90.00, 90.00, 90.00 degrees
Space group I-42d (No. 122)
Asymmetric unit:
Y 0.000 0.000 0.000 x4
Bi 0.000 0.000 0.500 x4
Sb 0.244 0.250 0.125 x8

A relaxed YBi2Sb2 crystal. Source: Alexandria, functional PBEsol.

Output
- Energy relative to the elements, uncorrected: -209 meV/atom
- Total magnetic moment: 0.0000 μB per atom

Cell lengths 8.331, 8.331, 4.267 Å; angles 90.00, 90.00, 90.00 degrees
Space group P4/mbm (No. 127)
Asymmetric unit:
Y 0.000 0.000 0.000 x2
Bi 0.140 0.360 0.000 x4
Sb 0.183 0.683 0.500 x4

A relaxed Zn3BiSb crystal. Source: Alexandria, functional PBEsol.

Output
- Energy relative to the elements, uncorrected: 579 meV/atom
- Relative energy among the computed polymorphs: 0 meV/atom
- Total magnetic moment: 0.0004 μB per atom

Cell lengths 5.085, 5.085, 5.085 Å; angles 90.00, 90.00, 90.00 degrees
Space group Pm-3m (No. 221)
Asymmetric unit:
Zn 0.000 0.000 0.500 x3
Bi 0.500 0.500 0.500 x1
Sb 0.000 0.000 0.000 x1

A relaxed ZnBi2Sb crystal. Source: Alexandria, functional PBEsol.

Output
- Energy relative to the elements, uncorrected: 203 meV/atom
- Total magnetic moment: 0.0002 μB per atom

Cell lengths 7.478, 7.478, 7.478 Å; angles 90.00, 90.00, 90.00 degrees
Space group Fm-3m (No. 225)
Asymmetric unit:
Zn 0.000 0.000 0.000 x4
Bi 0.250 0.250 0.250 x8
Sb 0.000 0.000 0.500 x4

A relaxed Zr2BiSb2 crystal. Source: Alexandria, functional PBEsol.

Output
- Energy relative to the elements, uncorrected: -555 meV/atom
- Total magnetic moment: 0.0000 μB per atom

Cell lengths 7.983, 7.983, 3.742 Å; angles 90.00, 90.00, 90.00 degrees
Space group P4/mbm (No. 127)
Asymmetric unit:
Zr 0.151 0.349 0.000 x4
Bi 0.000 0.000 0.000 x2
Sb 0.142 0.642 0.500 x4

A relaxed Sc3Bi crystal. Source: Alexandria, functional PBEsol.

Output
- Total magnetic moment: 0.0005 μB per atom
- E_form: -0.38 eV/atom

Cell lengths 6.4254, 6.4254, 5.0852 Å; angles 90.00, 90.00, 120.00 degrees
Space group P6_3/mmc (No. 194)
Asymmetric unit:
Sc 0.1650 0.3300 0.2500 x6
Bi 0.3333 0.6667 0.7500 x2

A relaxed Sr2ScBi crystal. Source: Alexandria, functional PBEsol.

Output
- Total magnetic moment: 0.0004 μB per atom
- E_form: 0.05 eV/atom

Cell lengths 9.330, 9.330, 6.596 Å; angles 90.00, 90.00, 90.00 degrees
Space group I-42d (No. 122)
Asymmetric unit:
Sr 0.221 0.750 0.125 x8
Sc 0.000 0.000 0.500 x4
Bi 0.000 0.000 0.000 x4

A relaxed Sr2Sc2Bi crystal. Source: Alexandria, functional PBEsol.

Output
- Total magnetic moment: 0.6686 μB per atom
- E_form: 0.33 eV/atom

Cell lengths 6.219, 6.219, 5.489 Å; angles 90.00, 90.00, 90.00 degrees
Space group P4/mmm (No. 123)
Asymmetric unit:
Sr 0.000 0.500 0.000 x2
Sc 0.000 0.000 0.500 x1
Sc 0.500 0.500 0.500 x1
Bi 0.000 0.000 0.000 x1

A relaxed ScTa3Bi crystal. Source: Alexandria, functional PBEsol.

Output
- Total magnetic moment: 0.0001 μB per atom
- E_form: 1.99 eV/atom

Cell lengths 5.081, 5.081, 5.081 Å; angles 90.00, 90.00, 90.00 degrees
Space group Pm-3m (No. 221)
Asymmetric unit:
Sc 0.000 0.000 0.000 x1
Ta 0.000 0.500 0.500 x3
Bi 0.500 0.500 0.500 x1

A relaxed Sc3TcBi crystal. Source: Alexandria, functional PBEsol.

Output
- Total magnetic moment: 0.1033 μB per atom
- E_form: 1.18 eV/atom

Cell lengths 5.278, 5.278, 5.278 Å; angles 90.00, 90.00, 90.00 degrees
Space group Pm-3m (No. 221)
Asymmetric unit:
Sc 0.000 0.000 0.500 x3
Tc 0.500 0.500 0.500 x1
Bi 0.000 0.000 0.000 x1

A relaxed ZrScTc2Bi crystal. Source: Alexandria, functional PBEsol.

Output
- Total magnetic moment: 0.0016 μB per atom
- E_form: 1.29 eV/atom

Cell lengths 4.550, 4.550, 5.093 Å; angles 90.00, 90.00, 90.00 degrees
Space group P4/mmm (No. 123)
Asymmetric unit:
Zr 0.000 0.000 0.000 x1
Sc 0.000 0.000 0.500 x1
Tc 0.000 0.500 0.500 x2
Bi 0.500 0.500 0.000 x1

A relaxed Sc3TlBi crystal. Source: Alexandria, functional PBEsol.

Output
- Total magnetic moment: 0.0001 μB per atom
- E_form: 0.25 eV/atom

Cell lengths 5.347, 5.347, 5.347 Å; angles 90.00, 90.00, 90.00 degrees
Space group Pm-3m (No. 221)
Asymmetric unit:
Sc 0.000 0.000 0.500 x3
Tl 0.500 0.500 0.500 x1
Bi 0.000 0.000 0.000 x1

A relaxed YSc2Bi2 crystal. Source: Alexandria, functional PBEsol.

Output
- Total magnetic moment: 0.1823 μB per atom
- E_form: -0.48 eV/atom

Cell lengths 4.294, 4.294, 14.469 Å; angles 90.00, 90.00, 90.00 degrees
Space group I4/mmm (No. 139)
Asymmetric unit:
Y 0.000 0.000 0.000 x2
Sc 0.000 0.500 0.250 x4
Bi 0.000 0.000 0.391 x4

A relaxed YScBi2 crystal. Source: Alexandria, functional PBEsol.

Output
- Total magnetic moment: 0.0004 μB per atom
- E_form: -0.57 eV/atom

Cell lengths 7.510, 7.510, 7.510 Å; angles 90.00, 90.00, 90.00 degrees
Space group Fm-3m (No. 225)
Asymmetric unit:
Y 0.000 0.000 0.000 x4
Sc 0.000 0.000 0.500 x4
Bi 0.250 0.250 0.250 x8

A relaxed ScZn3Bi crystal. Source: Alexandria, functional PBEsol.

Output
- Total magnetic moment: 0.0000 μB per atom
- E_form: 0.85 eV/atom

Cell lengths 5.157, 5.157, 5.157 Å; angles 90.00, 90.00, 90.00 degrees
Space group Pm-3m (No. 221)
Asymmetric unit:
Sc 0.000 0.000 0.000 x1
Zn 0.000 0.500 0.500 x3
Bi 0.500 0.500 0.500 x1

A relaxed Zr2ScBi2 crystal. Source: Alexandria, functional PBEsol.

Output
- Total magnetic moment: 0.0000 μB per atom
- E_form: -0.43 eV/atom

Cell lengths 7.876, 7.876, 3.842 Å; angles 90.00, 90.00, 90.00 degrees
Space group P4/mbm (No. 127)
Asymmetric unit:
Zr 0.148 0.352 0.000 x4
Sc 0.000 0.000 0.500 x2
Bi 0.150 0.650 0.500 x4

A relaxed SiBiSe3 crystal. Source: Alexandria, functional PBEsol.

Output
- Energy relative to the elements, uncorrected: 838 meV/atom
- Total magnetic moment: 0.0000 μB per atom

Cell lengths 5.360, 5.360, 5.360 Å; angles 90.00, 90.00, 90.00 degrees
Space group Pm-3m (No. 221)
Asymmetric unit:
Si 0.000 0.000 0.000 x1
Bi 0.500 0.500 0.500 x1
Se 0.000 0.500 0.500 x3

A relaxed SrSi2BiSe crystal. Source: Alexandria, functional PBEsol.

Output
- Energy relative to the elements, uncorrected: 670 meV/atom
- Total magnetic moment: 0.0003 μB per atom

Cell lengths 5.173, 5.173, 6.474 Å; angles 90.00, 90.00, 90.00 degrees
Space group P4/mmm (No. 123)
Asymmetric unit:
Sr 0.000 0.000 0.000 x1
Si 0.000 0.500 0.500 x2
Bi 0.000 0.000 0.500 x1
Se 0.500 0.500 0.000 x1

A relaxed SnBiSe3 crystal. Source: Alexandria, functional PBEsol.

Output
- Energy relative to the elements, uncorrected: 307 meV/atom
- Total magnetic moment: 0.0000 μB per atom

Cell lengths 5.383, 5.383, 5.383 Å; angles 90.00, 90.00, 90.00 degrees
Space group Pm-3m (No. 221)
Asymmetric unit:
Sn 0.000 0.000 0.000 x1
Bi 0.500 0.500 0.500 x1
Se 0.000 0.500 0.500 x3

A relaxed Ta2Bi2Se crystal. Source: Alexandria, functional PBEsol.

Output
- Energy relative to the elements, uncorrected: 527 meV/atom
- Total magnetic moment: 0.0001 μB per atom

Cell lengths 3.737, 3.737, 17.288 Å; angles 90.00, 90.00, 90.00 degrees
Space group I4/mmm (No. 139)
Asymmetric unit:
Ta 0.000 0.500 0.250 x4
Bi 0.000 0.000 0.106 x4
Se 0.000 0.000 0.500 x2

A relaxed BiTeSe2 crystal. Source: Alexandria, functional PBEsol.

Output
- Energy relative to the elements, uncorrected: -43 meV/atom
- Relative energy among the computed polymorphs: 0 meV/atom
- Total magnetic moment: 0.0000 μB per atom

Cell lengths 3.9659, 3.9659, 27.0624 Å; angles 90.00, 90.00, 120.00 degrees
Space group R-3m (No. 166, hexagonal axes)
Asymmetric unit:
Bi 0.0000 0.0000 0.0000 x3
Te 0.0000 0.0000 0.5000 x3
Se 0.0000 0.0000 0.4002 x6

A relaxed BiTeSe2 crystal. Source: Alexandria, functional PBEsol.

Output
- Energy relative to the elements, uncorrected: 121 meV/atom
- Relative energy among the computed polymorphs: 164 meV/atom
- Total magnetic moment: 0.0000 μB per atom

Cell lengths 3.6933, 3.6933, 28.7377 Å; angles 90.00, 90.00, 120.00 degrees
Space group R-3m (No. 166, hexagonal axes)
Asymmetric unit:
Bi 0.0000 0.0000 0.0000 x3
Te 0.0000 0.0000 0.5000 x3
Se 0.0000 0.0000 0.1001 x6

A relaxed Tl2Bi2Te3Se crystal. Source: Alexandria, functional PBEsol.

Output
- Energy relative to the elements, uncorrected: -236 meV/atom
- Total magnetic moment: 0.0000 μB per atom

Cell lengths 6.277, 6.332, 12.735 Å; angles 90.00, 90.00, 90.00 degrees
Space group Imm2 (No. 44)
Asymmetric unit:
Tl 0.000 0.000 0.000 x2
Tl 0.000 0.500 0.242 x2
Bi 0.000 0.000 0.500 x2
Bi 0.000 0.500 0.763 x2
Te 0.000 0.000 0.260 x2
Te 0.000 0.000 0.744 x2
Te 0.000 0.500 0.512 x2
Se 0.000 0.500 0.989 x2

A relaxed TiZn2BiSe crystal. Source: Alexandria, functional PBEsol.

Output
- Energy relative to the elements, uncorrected: 797 meV/atom
- Total magnetic moment: 0.3990 μB per atom

Cell lengths 5.081, 5.081, 5.443 Å; angles 90.00, 90.00, 90.00 degrees
Space group P4/mmm (No. 123)
Asymmetric unit:
Ti 0.000 0.000 0.000 x1
Zn 0.000 0.500 0.500 x2
Bi 0.000 0.000 0.500 x1
Se 0.500 0.500 0.000 x1

A relaxed TlBiSe2 crystal. Source: Alexandria, functional PBEsol.

Output
- Energy relative to the elements, uncorrected: -428 meV/atom
- Total magnetic moment: 0.0000 μB per atom

Cell lengths 4.2360, 4.2360, 22.1726 Å; angles 90.00, 90.00, 120.00 degrees
Space group R-3m (No. 166, hexagonal axes)
Asymmetric unit:
Tl 0.0000 0.0000 0.0000 x3
Bi 0.0000 0.0000 0.5000 x3
Se 0.0000 0.0000 0.2410 x6

A relaxed BiW2Se crystal. Source: Alexandria, functional PBEsol.

Output
- Energy relative to the elements, uncorrected: 929 meV/atom
- Total magnetic moment: 0.0002 μB per atom

Cell lengths 6.545, 6.545, 6.545 Å; angles 90.00, 90.00, 90.00 degrees
Space group Fm-3m (No. 225)
Asymmetric unit:
Bi 0.000 0.000 0.000 x4
W 0.250 0.250 0.250 x8
Se 0.000 0.000 0.500 x4

A relaxed ZnBi3Se crystal. Source: Alexandria, functional PBEsol.

Output
- Energy relative to the elements, uncorrected: 558 meV/atom
- Total magnetic moment: 0.0001 μB per atom

Cell lengths 5.272, 5.272, 5.272 Å; angles 90.00, 90.00, 90.00 degrees
Space group Pm-3m (No. 221)
Asymmetric unit:
Zn 0.000 0.000 0.000 x1
Bi 0.000 0.000 0.500 x3
Se 0.500 0.500 0.500 x1